Record 1
! Cs2KSeCl6 (GGA-PBE, optimized geometry); values from VASP
&SYSTEM
  ibrav = 0, nat = 10, ntyp = 4
/
ATOMIC_SPECIES
Cs 132.91 Cs.upf
K 39.10 K.upf
Se 78.96 Se.upf
Cl 35.45 Cl.upf
CELL_PARAMETERS angstrom
-1.767 3.109 -7.205
-7.847 -0.661 1.639
-4.779 6.211 -0.638
ATOMIC_POSITIONS crystal
Cs 0.750 0.250 0.500
Cs 0.250 0.750 0.500
K 0.500 0.500 0.000
Se 0.000 0.000 0.000
Cl 0.221 0.221 0.558
Cl 0.779 0.779 0.442
Cl 0.235 0.235 0.000
Cl 0.765 0.765 0.000
Cl 0.765 0.235 0.000
Cl 0.235 0.765 0.000
! Energy above the lowest structure with this stoichiometry, meV per atom: 0.0
! E_form (uncorrected), meV/atom: -1225

=====

Record 2
! CsK2SeCl (GGA-PBE, optimized geometry); values from VASP
&SYSTEM
  ibrav = 0, nat = 5, ntyp = 4
/
ATOMIC_SPECIES
Cs 132.91 Cs.upf
K 39.10 K.upf
Se 78.96 Se.upf
Cl 35.45 Cl.upf
CELL_PARAMETERS angstrom
-3.150 1.200 -4.005
-2.650 -4.452 0.751
-2.393 5.684 7.006
ATOMIC_POSITIONS crystal
Cs 0.542 0.542 0.084
K 0.744 0.244 0.488
K 0.244 0.744 0.488
Se 0.134 0.134 0.267
Cl 0.837 0.837 0.674
! Energy above the lowest structure with this stoichiometry, meV per atom: 0.0
! E_form (uncorrected), meV/atom: -1313

=====

Record 3
! CsK2SeCl (GGA-PBE, optimized geometry); values from VASP
&SYSTEM
  ibrav = 0, nat = 5, ntyp = 4
/
ATOMIC_SPECIES
Cs 132.91 Cs.upf
K 39.10 K.upf
Se 78.96 Se.upf
Cl 35.45 Cl.upf
CELL_PARAMETERS angstrom
6.158 0.000 0.000
0.000 6.158 0.000
0.000 0.000 6.981
ATOMIC_POSITIONS crystal
Cs 0.000 0.000 0.500
K 0.000 0.500 0.000
K 0.500 0.000 0.000
Se 0.000 0.000 0.000
Cl 0.500 0.500 0.500
! Energy above the lowest structure with this stoichiometry, meV per atom: 95.1
! E_form (uncorrected), meV/atom: -1218

=====

Record 4
! Cs2KSeCl6 (GGA-PBE, optimized geometry); values from VASP
&SYSTEM
  ibrav = 0, nat = 20, ntyp = 4
/
ATOMIC_SPECIES
Cs 132.91 Cs.upf
K 39.10 K.upf
Se 78.96 Se.upf
Cl 35.45 Cl.upf
CELL_PARAMETERS angstrom
7.610 0.000 0.000
3.805 6.590 0.000
3.805 2.197 14.596
ATOMIC_POSITIONS crystal
Cs 0.867 0.867 0.398
Cs 0.133 0.133 0.602
Cs 0.693 0.693 0.921
Cs 0.307 0.307 0.079
K 0.585 0.585 0.246
K 0.415 0.415 0.754
Se 0.000 0.000 0.000
Se 0.500 0.500 0.500
Cl 0.857 0.369 0.405
Cl 0.369 0.857 0.405
Cl 0.369 0.369 0.405
Cl 0.143 0.631 0.595
Cl 0.631 0.143 0.595
Cl 0.631 0.631 0.595
Cl 0.723 0.194 0.889
Cl 0.194 0.723 0.889
Cl 0.194 0.194 0.889
Cl 0.277 0.806 0.111
Cl 0.806 0.277 0.111
Cl 0.806 0.806 0.111
! Energy above the lowest structure with this stoichiometry, meV per atom: 13.6
! E_form (uncorrected), meV/atom: -1211

=====

Record 5
! Cs2KSeCl (GGA-PBE, optimized geometry); values from VASP
&SYSTEM
  ibrav = 0, nat = 5, ntyp = 4
/
ATOMIC_SPECIES
Cs 132.91 Cs.upf
K 39.10 K.upf
Se 78.96 Se.upf
Cl 35.45 Cl.upf
CELL_PARAMETERS angstrom
6.915 0.000 0.000
0.000 6.915 0.000
0.000 0.000 6.138
ATOMIC_POSITIONS crystal
Cs 0.000 0.500 0.000
Cs 0.500 0.000 0.000
K 0.000 0.000 0.500
Se 0.000 0.000 0.000
Cl 0.500 0.500 0.500
! E_form (uncorrected), meV/atom: -1212

=====

Record 6
! CsK2SmCl6 (GGA-PBE, optimized geometry); values from VASP
&SYSTEM
  ibrav = 0, nat = 10, ntyp = 4
/
ATOMIC_SPECIES
Cs 132.91 Cs.upf
K 39.10 K.upf
Sm 150.36 Sm.upf
Cl 35.45 Cl.upf
CELL_PARAMETERS angstrom
7.910 0.000 0.000
3.955 6.849 0.000
3.955 2.283 6.991
ATOMIC_POSITIONS crystal
Cs 0.807 0.807 0.580
K 0.527 0.527 0.420
K 0.012 0.012 0.963
Sm 0.324 0.324 0.029
Cl 0.562 0.235 0.230
Cl 0.235 0.973 0.230
Cl 0.972 0.562 0.230
Cl 0.382 0.685 0.778
Cl 0.685 0.156 0.778
Cl 0.156 0.382 0.778
! E_form (uncorrected), meV/atom: -2125

=====

Record 7
! CsK2SnCl8 (GGA-PBE, optimized geometry); values from VASP
&SYSTEM
  ibrav = 0, nat = 12, ntyp = 4
/
ATOMIC_SPECIES
Cs 132.91 Cs.upf
K 39.10 K.upf
Sn 118.71 Sn.upf
Cl 35.45 Cl.upf
CELL_PARAMETERS angstrom
7.102 0.008 -0.019
-0.033 5.717 0.853
0.008 1.467 9.397
ATOMIC_POSITIONS crystal
Cs 0.000 0.000 0.500
K 0.502 0.340 0.808
K 0.498 0.660 0.192
Sn 0.000 0.000 0.000
Cl 0.001 0.652 0.229
Cl 0.749 0.821 0.885
Cl 0.750 0.176 0.116
Cl 0.999 0.348 0.771
Cl 0.251 0.179 0.115
Cl 0.250 0.824 0.884
Cl 0.500 0.754 0.502
Cl 0.500 0.246 0.498
! E_form (uncorrected), meV/atom: -1395

=====

Record 8
! Cs4K3SnCl8 (GGA-PBE, optimized geometry); values from VASP
&SYSTEM
  ibrav = 0, nat = 16, ntyp = 4
/
ATOMIC_SPECIES
Cs 132.91 Cs.upf
K 39.10 K.upf
Sn 118.71 Sn.upf
Cl 35.45 Cl.upf
CELL_PARAMETERS angstrom
9.228 0.000 0.000
0.000 9.407 -0.223
-4.614 -4.859 7.265
ATOMIC_POSITIONS crystal
Cs 0.500 0.000 0.000
Cs 0.500 0.000 0.500
Cs 0.000 0.000 0.000
Cs 0.000 0.000 0.500
K 0.500 0.500 0.000
K 0.500 0.500 0.500
K 0.000 0.500 0.500
Sn 0.000 0.500 0.000
Cl 0.227 0.706 0.979
Cl 0.273 0.751 0.546
Cl 0.254 0.273 0.509
Cl 0.752 0.706 0.979
Cl 0.248 0.294 0.021
Cl 0.746 0.727 0.491
Cl 0.727 0.249 0.454
Cl 0.773 0.294 0.021
! E_form (uncorrected), meV/atom: -1710

=====

Record 9
! Cs2KSn2Cl7 (GGA-PBE, optimized geometry); values from VASP
&SYSTEM
  ibrav = 0, nat = 12, ntyp = 4
/
ATOMIC_SPECIES
Cs 132.91 Cs.upf
K 39.10 K.upf
Sn 118.71 Sn.upf
Cl 35.45 Cl.upf
CELL_PARAMETERS angstrom
5.602 -0.003 0.014
0.004 5.602 0.014
2.791 2.787 14.225
ATOMIC_POSITIONS crystal
Cs 0.817 0.817 0.362
Cs 0.183 0.183 0.638
K 0.000 0.000 0.000
Sn 0.599 0.599 0.803
Sn 0.401 0.401 0.197
Cl 0.500 0.500 0.000
Cl 0.305 0.305 0.395
Cl 0.695 0.695 0.605
Cl 0.904 0.407 0.187
Cl 0.407 0.904 0.187
Cl 0.593 0.096 0.813
Cl 0.096 0.593 0.813
! E_form (uncorrected), meV/atom: -1498

=====

Record 10
! Cs4KSn3Cl12 (GGA-PBE, optimized geometry); values from VASP
&SYSTEM
  ibrav = 0, nat = 20, ntyp = 4
/
ATOMIC_SPECIES
Cs 132.91 Cs.upf
K 39.10 K.upf
Sn 118.71 Sn.upf
Cl 35.45 Cl.upf
CELL_PARAMETERS angstrom
-1.900 7.694 -5.638
3.642 -7.189 -5.445
-8.210 -3.002 4.263
ATOMIC_POSITIONS crystal
Cs 0.500 0.500 0.500
Cs 0.000 0.000 0.500
Cs 0.500 0.000 0.000
Cs 0.000 0.500 0.000
K 0.000 0.000 0.000
Sn 0.500 0.000 0.500
Sn 0.500 0.500 0.000
Sn 0.000 0.500 0.500
Cl 0.250 0.500 0.750
Cl 0.737 0.000 0.737
Cl 0.263 0.000 0.263
Cl 0.750 0.500 0.250
Cl 0.737 0.737 0.000
Cl 0.263 0.263 0.000
Cl 0.750 0.250 0.500
Cl 0.250 0.750 0.500
Cl 0.500 0.250 0.750
Cl 0.000 0.737 0.737
Cl 0.500 0.750 0.250
Cl 0.000 0.263 0.263
! E_form (uncorrected), meV/atom: -1508

=====

Record 11
! CsKSnCl4 (GGA-PBE, optimized geometry); values from VASP
&SYSTEM
  ibrav = 0, nat = 7, ntyp = 4
/
ATOMIC_SPECIES
Cs 132.91 Cs.upf
K 39.10 K.upf
Sn 118.71 Sn.upf
Cl 35.45 Cl.upf
CELL_PARAMETERS angstrom
5.574 0.000 0.000
0.000 5.574 0.000
-2.787 -2.787 8.437
ATOMIC_POSITIONS crystal
Cs 0.643 0.643 0.285
K 0.361 0.361 0.722
Sn 0.999 0.999 0.998
Cl 0.989 0.489 0.979
Cl 0.489 0.989 0.979
Cl 0.840 0.840 0.680
Cl 0.178 0.178 0.355
! E_form (uncorrected), meV/atom: -1552

=====

Record 12
! Cs2KSnCl5 (GGA-PBE, optimized geometry); values from VASP
&SYSTEM
  ibrav = 0, nat = 18, ntyp = 4
/
ATOMIC_SPECIES
Cs 132.91 Cs.upf
K 39.10 K.upf
Sn 118.71 Sn.upf
Cl 35.45 Cl.upf
CELL_PARAMETERS angstrom
-1.046 4.641 -1.569
-4.221 -5.932 -6.736
-11.888 -0.123 7.559
ATOMIC_POSITIONS crystal
Cs 0.855 0.710 0.802
Cs 0.110 0.219 0.686
Cs 0.145 0.290 0.302
Cs 0.890 0.781 0.186
K 0.784 0.568 0.518
K 0.216 0.432 0.018
Sn 0.532 0.064 0.958
Sn 0.468 0.936 0.458
Cl 0.382 0.763 0.997
Cl 0.667 0.335 0.881
Cl 0.492 0.983 0.778
Cl 0.284 0.568 0.658
Cl 0.949 0.897 0.546
Cl 0.618 0.237 0.497
Cl 0.333 0.665 0.381
Cl 0.508 0.017 0.278
Cl 0.716 0.432 0.158
Cl 0.051 0.103 0.046
! E_form (uncorrected), meV/atom: -1647

=====

Record 13
! Cs2KSrCl5 (GGA-PBE, optimized geometry); values from VASP
&SYSTEM
  ibrav = 0, nat = 9, ntyp = 4
/
ATOMIC_SPECIES
Cs 132.91 Cs.upf
K 39.10 K.upf
Sr 87.62 Sr.upf
Cl 35.45 Cl.upf
CELL_PARAMETERS angstrom
5.556 0.000 0.000
0.000 7.919 0.000
-2.778 -3.959 8.405
ATOMIC_POSITIONS crystal
Cs 0.208 0.208 0.416
Cs 0.792 0.792 0.584
K 0.000 0.500 0.000
Sr 0.500 0.000 0.000
Cl 0.624 0.871 0.248
Cl 0.376 0.129 0.752
Cl 0.376 0.623 0.752
Cl 0.624 0.377 0.248
Cl 0.000 0.000 0.000
! E_form (uncorrected), meV/atom: -2075

=====

Record 14
! Cs4K3SrCl8 (GGA-PBE, optimized geometry); values from VASP
&SYSTEM
  ibrav = 0, nat = 16, ntyp = 4
/
ATOMIC_SPECIES
Cs 132.91 Cs.upf
K 39.10 K.upf
Sr 87.62 Sr.upf
Cl 35.45 Cl.upf
CELL_PARAMETERS angstrom
9.417 0.000 0.000
0.000 9.808 0.281
-4.708 -4.714 6.654
ATOMIC_POSITIONS crystal
Cs 0.500 0.000 0.000
Cs 0.500 0.000 0.500
Cs 0.000 0.000 0.000
Cs 0.000 0.000 0.500
K 0.500 0.500 0.000
K 0.500 0.500 0.500
K 0.000 0.500 0.500
Sr 0.000 0.500 0.000
Cl 0.218 0.700 0.982
Cl 0.218 0.700 0.437
Cl 0.260 0.281 0.521
Cl 0.763 0.700 0.982
Cl 0.237 0.300 0.018
Cl 0.740 0.719 0.479
Cl 0.782 0.300 0.563
Cl 0.782 0.300 0.018
! E_form (uncorrected), meV/atom: -1904

=====

Record 15
! CsK2SrCl (GGA-PBE, optimized geometry); values from VASP
&SYSTEM
  ibrav = 0, nat = 5, ntyp = 4
/
ATOMIC_SPECIES
Cs 132.91 Cs.upf
Sr 87.62 Sr.upf
K 39.10 K.upf
Cl 35.45 Cl.upf
CELL_PARAMETERS angstrom
-4.341 5.488 -2.312
-0.432 -3.144 -6.651
-4.678 -2.979 1.712
ATOMIC_POSITIONS crystal
Cs 0.500 0.500 0.500
Sr 0.000 0.000 0.500
K 0.000 0.500 0.000
K 0.500 0.000 0.000
Cl 0.000 0.000 0.000
! E_form (uncorrected), meV/atom: -596

=====

Record 16
! Cs2KSr2Cl7 (GGA-PBE, optimized geometry); values from VASP
&SYSTEM
  ibrav = 0, nat = 12, ntyp = 4
/
ATOMIC_SPECIES
Cs 132.91 Cs.upf
K 39.10 K.upf
Sr 87.62 Sr.upf
Cl 35.45 Cl.upf
CELL_PARAMETERS angstrom
-1.504 -5.191 1.773
-1.295 -1.451 -5.344
12.069 -7.922 -3.808
ATOMIC_POSITIONS crystal
Cs 0.815 0.815 0.366
Cs 0.185 0.185 0.634
K 0.000 0.000 0.000
Sr 0.599 0.599 0.801
Sr 0.401 0.401 0.199
Cl 0.500 0.500 0.000
Cl 0.304 0.304 0.397
Cl 0.696 0.696 0.603
Cl 0.906 0.406 0.188
Cl 0.406 0.906 0.188
Cl 0.594 0.094 0.812
Cl 0.094 0.594 0.812
! E_form (uncorrected), meV/atom: -2199

=====

Record 17
! Cs3K2SrCl6 (GGA-PBE, optimized geometry); values from VASP
&SYSTEM
  ibrav = 0, nat = 12, ntyp = 4
/
ATOMIC_SPECIES
Cs 132.91 Cs.upf
K 39.10 K.upf
Sr 87.62 Sr.upf
Cl 35.45 Cl.upf
CELL_PARAMETERS angstrom
-4.851 -5.766 3.115
8.096 -0.643 0.723
-1.383 6.246 5.893
ATOMIC_POSITIONS crystal
Cs 0.168 0.832 0.500
Cs 0.832 0.168 0.500
Cs 0.500 0.500 0.500
K 0.333 0.667 0.000
K 0.667 0.333 0.000
Sr 0.000 0.000 0.000
Cl 0.934 0.631 0.803
Cl 0.765 0.765 0.201
Cl 0.066 0.369 0.197
Cl 0.631 0.934 0.803
Cl 0.235 0.235 0.799
Cl 0.369 0.066 0.197
! E_form (uncorrected), meV/atom: -1892

=====

Record 18
! CsKSrCl4 (GGA-PBE, optimized geometry); values from VASP
&SYSTEM
  ibrav = 0, nat = 7, ntyp = 4
/
ATOMIC_SPECIES
Cs 132.91 Cs.upf
K 39.10 K.upf
Sr 87.62 Sr.upf
Cl 35.45 Cl.upf
CELL_PARAMETERS angstrom
-3.297 -0.615 4.567
-2.159 -4.754 -2.199
8.819 -1.834 2.604
ATOMIC_POSITIONS crystal
Cs 0.643 0.643 0.285
K 0.357 0.357 0.714
Sr 0.004 0.004 0.007
Cl 0.994 0.494 0.988
Cl 0.494 0.994 0.988
Cl 0.836 0.836 0.671
Cl 0.173 0.173 0.347
! E_form (uncorrected), meV/atom: -2148

=====

Record 19
! CsK2SrCl (GGA-PBE, optimized geometry); values from VASP
&SYSTEM
  ibrav = 0, nat = 5, ntyp = 4
/
ATOMIC_SPECIES
Cs 132.91 Cs.upf
Sr 87.62 Sr.upf
K 39.10 K.upf
Cl 35.45 Cl.upf
CELL_PARAMETERS angstrom
6.530 0.000 0.000
0.000 6.530 0.000
0.000 0.000 6.966
ATOMIC_POSITIONS crystal
Cs 0.000 0.000 0.500
Sr 0.500 0.500 0.500
K 0.000 0.500 0.000
K 0.500 0.000 0.000
Cl 0.000 0.000 0.000
! E_form (uncorrected), meV/atom: -594

=====

Record 20
! Cs2KSrCl (GGA-PBE, optimized geometry); values from VASP
&SYSTEM
  ibrav = 0, nat = 5, ntyp = 4
/
ATOMIC_SPECIES
Cs 132.91 Cs.upf
Sr 87.62 Sr.upf
K 39.10 K.upf
Cl 35.45 Cl.upf
CELL_PARAMETERS angstrom
7.050 0.000 0.000
0.000 7.050 0.000
0.000 0.000 6.577
ATOMIC_POSITIONS crystal
Cs 0.000 0.500 0.000
Cs 0.500 0.000 0.000
Sr 0.500 0.500 0.500
K 0.000 0.000 0.500
Cl 0.000 0.000 0.000
! Energy above the lowest structure with this stoichiometry, meV per atom: 41.8
! E_form (uncorrected), meV/atom: -607